[1]
Material: KAlBr
Method: DFT, PBE-GGA
State: relaxed

Results
As for the total magnetization: 0.0 μB per formula unit. As for the energy above the most stable polymorph in this dataset: 0 meV/atom.

Cell and atoms, written as CIF:
```
data_KAlBr
_chemical_formula_sum 'K2 Al2 Br2'
_cell_length_a 4.001
_cell_length_b 4.951
_cell_length_c 12.109
_cell_angle_alpha 90.00
_cell_angle_beta 90.00
_cell_angle_gamma 90.00
_space_group_name_H-M_alt 'I m m 2'
_space_group_IT_number 44
_space_group_name_Hall 'I 2 -2'
loop_
_atom_site_label
_atom_site_fract_x
_atom_site_fract_y
_atom_site_fract_z
K1 0.000 0.000 0.000
Al1 0.000 0.000 0.309
Br1 0.000 0.000 0.529
```

=====

[2]
Material: KAlBr2
Method: DFT, PBE-GGA
State: relaxed

Results
As for the total magnetization: 0.0 μB per formula unit. As for the energy above the most stable polymorph in this dataset: 95 meV/atom.

Cell and atoms, written as CIF:
```
data_KAlBr2
_chemical_formula_sum 'K2 Al2 Br4'
_cell_length_a 7.836
_cell_length_b 7.836
_cell_length_c 3.904
_cell_angle_alpha 90.00
_cell_angle_beta 90.41
_cell_angle_gamma 90.00
_space_group_name_H-M_alt 'C 1 2/m 1'
_space_group_IT_number 12
_space_group_name_Hall '-C 2y'
loop_
_atom_site_label
_atom_site_fract_x
_atom_site_fract_y
_atom_site_fract_z
K1 0.000 0.000 0.000
Al1 0.000 0.500 0.000
Br1 0.250 0.250 0.500
```

=====

[3]
Material: KAl2Br
Method: DFT, PBE-GGA
State: relaxed

Results
As for the total magnetization: 0.0 μB per formula unit. As for the energy above the most stable polymorph in this dataset: 226 meV/atom.

Cell and atoms, written as CIF:
```
data_KAl2Br
_chemical_formula_sum 'K2 Al4 Br2'
_cell_length_a 4.741
_cell_length_b 5.662
_cell_length_c 11.264
_cell_angle_alpha 90.00
_cell_angle_beta 90.00
_cell_angle_gamma 90.00
_space_group_name_H-M_alt 'I m m 2'
_space_group_IT_number 44
_space_group_name_Hall 'I 2 -2'
loop_
_atom_site_label
_atom_site_fract_x
_atom_site_fract_y
_atom_site_fract_z
K1 0.000 0.000 0.000
Al1 0.000 0.000 0.340
Al2 0.000 0.500 0.752
Br1 0.000 0.500 0.291
```

=====

[4]
Material: KAl2Br
Method: DFT, PBE-GGA
State: relaxed

Results
As for the total magnetization: 0.0 μB per formula unit. As for the energy above the most stable polymorph in this dataset: 540 meV/atom.

Cell and atoms, written as CIF:
```
data_KAl2Br
_chemical_formula_sum 'K2 Al4 Br2'
_cell_length_a 3.624
_cell_length_b 5.971
_cell_length_c 10.252
_cell_angle_alpha 90.00
_cell_angle_beta 90.00
_cell_angle_gamma 90.00
_space_group_name_H-M_alt 'C m m m'
_space_group_IT_number 65
_space_group_name_Hall '-C 2 2'
loop_
_atom_site_label
_atom_site_fract_x
_atom_site_fract_y
_atom_site_fract_z
K1 0.000 0.000 0.000
Al1 0.000 0.500 0.283
Br1 0.000 0.000 0.500
```

=====

[5]
Material: KAlBr
Method: DFT, PBE-GGA
State: relaxed

Results
As for the total magnetization: 0.0 μB per formula unit. As for the energy above the most stable polymorph in this dataset: 41 meV/atom.

Cell and atoms, written as CIF:
```
data_KAlBr
_chemical_formula_sum 'K4 Al4 Br4'
_cell_length_a 4.886
_cell_length_b 5.641
_cell_length_c 13.642
_cell_angle_alpha 90.00
_cell_angle_beta 90.00
_cell_angle_gamma 90.00
_space_group_name_H-M_alt 'F m m 2'
_space_group_IT_number 42
_space_group_name_Hall 'F 2 -2'
loop_
_atom_site_label
_atom_site_fract_x
_atom_site_fract_y
_atom_site_fract_z
K1 0.000 0.000 0.000
Al1 0.000 0.000 0.695
Br1 0.000 0.000 0.357
```

=====

[6]
Material: KAl2Br
Method: DFT, PBE-GGA
State: relaxed

Results
As for the total magnetization: 0.0 μB per formula unit. As for the energy above the most stable polymorph in this dataset: 8 meV/atom.

Cell and atoms, written as CIF:
```
data_KAl2Br
_chemical_formula_sum 'K2 Al4 Br2'
_cell_length_a 8.092
_cell_length_b 4.675
_cell_length_c 6.962
_cell_angle_alpha 90.00
_cell_angle_beta 93.00
_cell_angle_gamma 90.00
_space_group_name_H-M_alt 'C 1 m 1'
_space_group_IT_number 8
_space_group_name_Hall 'C -2y'
loop_
_atom_site_label
_atom_site_fract_x
_atom_site_fract_y
_atom_site_fract_z
K1 0.000 0.000 0.000
Al1 0.184 0.500 0.354
Al2 0.351 0.000 0.370
Br1 0.322 0.000 0.744
```

=====

[7]
Material: K2Al2Br
Method: DFT, PBE-GGA
State: relaxed

Results
As for the total magnetization: 0.5 μB per formula unit. As for the energy above the most stable polymorph in this dataset: 506 meV/atom.

Cell and atoms, written as CIF:
```
data_K2Al2Br
_chemical_formula_sum 'K4 Al4 Br2'
_cell_length_a 8.461
_cell_length_b 8.461
_cell_length_c 5.967
_cell_angle_alpha 90.00
_cell_angle_beta 90.00
_cell_angle_gamma 90.00
_space_group_name_H-M_alt 'P 4/m b m'
_space_group_IT_number 127
_space_group_name_Hall '-P 4 2ab'
loop_
_atom_site_label
_atom_site_fract_x
_atom_site_fract_y
_atom_site_fract_z
K1 0.180 0.320 0.000
Al1 0.108 0.608 0.500
Br1 0.000 0.000 0.000
```

=====

[8]
Material: KAl3Br
Method: DFT, PBE-GGA
State: relaxed

Results
As for the total magnetization: 0.0 μB per formula unit. As for the energy above the most stable polymorph in this dataset: 666 meV/atom.

Cell and atoms, written as CIF:
```
data_KAl3Br
_chemical_formula_sum 'K1 Al3 Br1'
_cell_length_a 6.171
_cell_length_b 6.171
_cell_length_c 6.171
_cell_angle_alpha 90.00
_cell_angle_beta 90.00
_cell_angle_gamma 90.00
_space_group_name_H-M_alt 'P m -3 m'
_space_group_IT_number 221
_space_group_name_Hall '-P 4 2 3'
loop_
_atom_site_label
_atom_site_fract_x
_atom_site_fract_y
_atom_site_fract_z
K1 0.000 0.000 0.000
Al1 0.000 0.000 0.500
Br1 0.500 0.500 0.500
```

=====

no.,E_tot (eV/atom)
1,-2.49
2,-2.91
3,-2.63
4,-2.32
5,-2.45
6,-2.85
7,-2.25
8,-1.56